TcHgPb: relaxed, PBE-GGA.

Computed properties:
- total magnetization (μB/cell) = 1.933

Unit cell a=6.5612 b=6.5612 c=6.5612 alpha=90.00 beta=90.00 gamma=90.00
Space group F-43m (No. 216)
Symmetry-distinct sites (fractional):
Tc1 0.0000 0.0000 0.0000 (multiplicity 4)
Hg1 0.2500 0.2500 0.2500 (multiplicity 4)
Pb1 0.2500 0.2500 0.7500 (multiplicity 4)

***

CuH6C10Br4N2Cl2: relaxed, PBE-GGA.

Unit cell a=6.2622 b=7.8724 c=8.5735 alpha=104.27 beta=93.94 gamma=103.29
Space group P-1 (No. 2)
Symmetry-distinct sites (fractional):
Cu1 0.0000 0.0000 0.0000 (multiplicity 1)
H1 0.1842 0.8112 0.5029 (multiplicity 2)
H2 0.1916 0.3869 0.5054 (multiplicity 2)
H3 0.3929 0.2547 0.9445 (multiplicity 2)
C1 0.0537 0.7929 0.4051 (multiplicity 2)
C2 0.0917 0.8803 0.2832 (multiplicity 2)
C3 0.1560 0.3181 0.6001 (multiplicity 2)
C4 0.2694 0.2448 0.8444 (multiplicity 2)
C5 0.3193 0.3370 0.7271 (multiplicity 2)
Br1 0.1350 0.7519 0.8341 (multiplicity 2)
Br2 0.3724 0.0334 0.2779 (multiplicity 2)
N1 0.0659 0.1379 0.8378 (multiplicity 2)
Cl1 0.4174 0.5295 0.2583 (multiplicity 2)

***

LiIn2CuTe4: relaxed, PBE-GGA.

Unit cell a=6.3759 b=6.3759 c=12.7071 alpha=90.00 beta=90.00 gamma=90.00
Space group I-4 (No. 82)
Symmetry-distinct sites (fractional):
Li1 0.0000 0.0000 0.0000 (multiplicity 2)
In1 0.0000 0.0000 0.5000 (multiplicity 2)
In2 0.0000 0.5000 0.7500 (multiplicity 2)
Cu1 0.0000 0.5000 0.2500 (multiplicity 2)
Te1 0.2274 0.2595 0.1290 (multiplicity 8)

***

NaTbCdSe3: relaxed, PBE-GGA.

Computed properties:
- total magnetization (μB/cell) = 0.007

Unit cell a=17.6470 b=4.1344 c=9.0962 alpha=90.00 beta=105.45 gamma=90.00
Space group C2/m (No. 12)
Symmetry-distinct sites (fractional):
Na1 0.1314 0.0000 0.0728 (multiplicity 4)
Tb1 0.1766 0.0000 0.5997 (multiplicity 4)
Cd1 0.0142 0.5000 0.7200 (multiplicity 4)
Se1 0.0000 0.0000 0.5000 (multiplicity 2)
Se2 0.0000 0.5000 0.0000 (multiplicity 2)
Se3 0.1607 0.5000 0.3685 (multiplicity 4)
Se4 0.1753 0.5000 0.8146 (multiplicity 4)

***

BaHoO3: relaxed, PBE-GGA.

Computed properties:
- total magnetization (μB/cell) = 6.000

Unit cell a=6.1214 b=6.1214 c=16.4409 alpha=90.00 beta=90.00 gamma=120.00
Space group R-3 (No. 148, hexagonal axes)
Symmetry-distinct sites (fractional):
Ba1 0.0000 0.0000 0.1285 (multiplicity 6)
Ho1 0.0000 0.0000 0.3469 (multiplicity 6)
O1 0.0238 0.6114 0.9257 (multiplicity 18)

***

Na2TeIrO6: relaxed, PBE-GGA.

Computed properties:
- total magnetization (μB/cell) = 0.497

Unit cell a=5.3579 b=5.4555 c=9.3075 alpha=90.00 beta=124.87 gamma=90.00
Space group P2_1/c (No. 14)
Symmetry-distinct sites (fractional):
Na1 0.2379 0.0509 0.2496 (multiplicity 4)
Te1 0.5000 0.0000 0.0000 (multiplicity 2)
Ir1 0.0000 0.0000 0.5000 (multiplicity 2)
O1 0.1457 0.1943 0.9498 (multiplicity 4)
O2 0.2533 0.7005 0.9467 (multiplicity 4)
O3 0.3529 0.0303 0.7514 (multiplicity 4)

***

Looking at raw total energy for the records above, in order, we have -48.2 -143.5 -54.5 -98.4 -208.4 -110.8 eV/cell.